VASP calculation (GGA-PBE) on a relaxed Cu4SnSb crystal.

* V: 97 Å³ per cell
* spin magnetization: 0.00 Bohr magnetons per cell
* formation energy without anion corrections: 51 kJ/mol of formula units

Unit cell a=5.165 b=5.165 c=5.165 alpha=60.00 beta=60.00 gamma=60.00
Fractional coordinates of all 6 atoms:
Cu1 0.125 0.125 0.125
Cu2 0.125 0.125 0.625
Cu3 0.125 0.625 0.125
Cu4 0.625 0.125 0.125
Sn1 0.750 0.750 0.750
Sb1 0.500 0.500 0.500